Entry 1:
DFT (PBE-GGA) results for a relaxed structure of La6InCo.

Unit cell a=6.5647 b=6.5647 c=6.5031 alpha=99.47 beta=99.47 gamma=102.78
Sites, in units of the cell vectors:
La1 0.0865 0.6961 0.7111
La2 0.2851 0.2851 0.8977
La3 0.3039 0.9135 0.2889
La4 0.6961 0.0865 0.7111
La5 0.7149 0.7149 0.1023
La6 0.9135 0.3039 0.2889
In1 0.5000 0.5000 0.5000
Co1 0.0000 0.0000 0.0000

- calculated total energy (eV/atom) = -5.054
- polymorph energy (0 for the lowest one) (meV per atom) = 0
- E_form (meV per atom) = -127.9
- crystal system = monoclinic
- space group = C2/m, No. 12


Entry 2:
DFT (PBE-GGA) results for a relaxed structure of La6InCo13.

Unit cell a=13.0199 b=13.0199 c=13.0199 alpha=143.89 beta=143.89 gamma=51.99
Sites, in units of the cell vectors:
La1 0.0144 0.5144 0.1734
La2 0.0992 0.0992 0.0000
La3 0.1590 0.9856 0.5000
La4 0.3410 0.8410 0.8266
La5 0.4008 0.4008 0.0000
La6 0.4856 0.6590 0.5000
La7 0.5144 0.3410 0.5000
La8 0.5992 0.5992 0.0000
La9 0.6590 0.1590 0.1734
La10 0.8410 0.0144 0.5000
La11 0.9008 0.9008 0.0000
La12 0.9856 0.4856 0.8266
In1 0.2500 0.2500 0.0000
In2 0.7500 0.7500 0.0000
Co1 0.0000 0.5000 0.5000
Co2 0.0262 0.2995 0.5000
Co3 0.0651 0.2142 0.2793
Co4 0.1219 0.6219 0.8541
Co5 0.2005 0.4738 0.5000
Co6 0.2142 0.9349 0.1492
Co7 0.2322 0.7322 0.8541
Co8 0.2678 0.1219 0.5000
Co9 0.2858 0.4349 0.7207
Co10 0.2995 0.7995 0.2733
Co11 0.3781 0.2322 0.5000
Co12 0.4349 0.7142 0.1492
Co13 0.4738 0.9738 0.2733
Co14 0.5000 0.0000 0.5000
Co15 0.5262 0.0262 0.7267
Co16 0.5651 0.2858 0.8508
Co17 0.6219 0.7678 0.5000
Co18 0.7005 0.2005 0.7267
Co19 0.7142 0.5651 0.2793
Co20 0.7322 0.8781 0.5000
Co21 0.7678 0.2678 0.1459
Co22 0.7858 0.0651 0.8508
Co23 0.7995 0.5262 0.5000
Co24 0.8781 0.3781 0.1459
Co25 0.9349 0.7858 0.7207
Co26 0.9738 0.7005 0.5000

- calculated total energy (eV/atom) = -6.356
- E_form (meV per atom) = -121.8
- crystal system = tetragonal
- space group = I4/mcm, No. 140


Entry 3:
DFT (PBE-GGA) results for a relaxed structure of La12InCo6.

Unit cell a=8.7932 b=8.7932 c=8.7932 alpha=109.47 beta=109.47 gamma=109.47
Sites, in units of the cell vectors:
La1 0.1210 0.3113 0.8097
La2 0.1903 0.5016 0.3113
La3 0.1903 0.8790 0.6887
La4 0.3113 0.1903 0.5016
La5 0.3113 0.8097 0.1210
La6 0.4984 0.6887 0.8097
La7 0.5016 0.3113 0.1903
La8 0.6887 0.1903 0.8790
La9 0.6887 0.8097 0.4984
La10 0.8097 0.1210 0.3113
La11 0.8097 0.4984 0.6887
La12 0.8790 0.6887 0.1903
In1 0.0000 0.0000 0.0000
Co1 0.1175 0.5000 0.6175
Co2 0.3825 0.8825 0.5000
Co3 0.5000 0.3825 0.8825
Co4 0.5000 0.6175 0.1175
Co5 0.6175 0.1175 0.5000
Co6 0.8825 0.5000 0.3825

- calculated total energy (eV/atom) = -5.677
- E_form (meV per atom) = -177.1
- crystal system = cubic
- space group = Im-3, No. 204


Entry 4:
DFT (PBE-GGA) results for a relaxed structure of LaInCo.

Unit cell a=4.5534 b=4.5534 c=4.0248 alpha=90.00 beta=90.00 gamma=120.00
Sites, in units of the cell vectors:
La1 0.0000 0.0000 0.0000
In1 0.3333 0.6667 0.5000
Co1 0.6667 0.3333 0.5000

- calculated total energy (eV/atom) = -5.042
- E_form (meV per atom) = -117.9
- crystal system = hexagonal
- space group = P-6m2, No. 187


Entry 5:
DFT (PBE-GGA) results for a relaxed structure of LaInCo2.

Unit cell a=5.9468 b=5.9468 c=5.9468 alpha=149.42 beta=134.51 gamma=55.81
Sites, in units of the cell vectors:
La1 0.0000 0.0000 0.0000
In1 0.7192 0.2192 0.5000
Co1 0.3013 0.8013 0.5000
Co2 0.4881 0.4881 0.0000

- calculated total energy (eV/atom) = -5.321
- E_form (meV per atom) = 148.0
- crystal system = orthorhombic
- space group = Imm2, No. 44


Entry 6:
DFT (PBE-GGA) results for a relaxed structure of LaInCo2.

Unit cell a=3.9645 b=5.2361 c=5.2361 alpha=46.66 beta=90.00 gamma=90.00
Sites, in units of the cell vectors:
La1 0.0000 0.0000 0.0000
In1 0.5000 0.7039 0.7039
Co1 0.0000 0.2868 0.2868
Co2 0.5000 0.4014 0.4014

- calculated total energy (eV/atom) = -5.566
- E_form (meV per atom) = -96.1
- crystal system = orthorhombic
- space group = Amm2, No. 38